(1)
The following is a GGA-PBE calculation of Tm2UTl2Se6 after structural relaxation, from Alexandria via LeMat-Bulk.

Values from the calculation:
* uncorrected formation energy: -1309 meV per atom
* final energy: -0.201 Ha/atom
* space-group type: C2/m (12)

Lattice parameters (Å, degrees): 7.128 7.128 8.208 98.38 98.38 120.03
Positions (direct):
Tm1 0.333 0.667 0.500
Tm2 0.667 0.333 0.500
U1 0.000 0.000 0.500
Tl1 0.833 0.167 0.000
Tl2 0.167 0.833 0.000
Se1 0.735 0.735 0.700
Se2 0.067 0.400 0.700
Se3 0.265 0.265 0.300
Se4 0.400 0.067 0.700
Se5 0.933 0.600 0.300
Se6 0.600 0.933 0.300

***

(2)
The following is a GGA-PBE calculation of Tm3UTl4Se8 after structural relaxation, from Alexandria via LeMat-Bulk.

Values from the calculation:
* uncorrected formation energy: -1234 meV per atom
* final energy: -0.188 Ha/atom
* space-group type: R-3m (166)

Lattice parameters (Å, degrees): 8.301 9.164 8.302 116.97 120.00 90.00
Positions (direct):
Tm1 0.500 0.500 0.000
Tm2 0.500 0.500 0.500
Tm3 0.000 0.500 0.500
U1 0.000 0.500 0.000
Tl1 0.500 0.000 0.000
Tl2 0.500 0.000 0.500
Tl3 0.000 0.000 0.000
Tl4 0.000 0.000 0.500
Se1 0.237 0.703 0.966
Se2 0.237 0.703 0.474
Se3 0.267 0.300 0.533
Se4 0.730 0.703 0.966
Se5 0.270 0.297 0.034
Se6 0.733 0.700 0.467
Se7 0.763 0.297 0.526
Se8 0.763 0.297 0.034

***

(3)
The following is a GGA-PBE calculation of Y2TmTl3Se6 after structural relaxation, from Alexandria via LeMat-Bulk.

Values from the calculation:
* uncorrected formation energy: -1389 meV per atom
* final energy: -0.190 Ha/atom
* space-group type: C2/m (12)

Lattice parameters (Å, degrees): 7.226 7.226 8.139 98.52 98.52 119.99
Positions (direct):
Y1 0.333 0.667 0.000
Y2 0.667 0.333 0.000
Tm1 0.000 0.000 0.000
Tl1 0.168 0.832 0.500
Tl2 0.832 0.168 0.500
Tl3 0.500 0.500 0.500
Se1 0.932 0.603 0.797
Se2 0.738 0.738 0.204
Se3 0.068 0.397 0.203
Se4 0.603 0.932 0.797
Se5 0.262 0.262 0.796
Se6 0.397 0.068 0.203

***

(4)
The following is a GGA-PBE calculation of YTm3Tl4Se8 after structural relaxation, from Alexandria via LeMat-Bulk.

Values from the calculation:
* uncorrected formation energy: -1380 meV per atom
* final energy: -0.182 Ha/atom
* space-group type: R-3m (166)

Lattice parameters (Å, degrees): 8.298 9.138 8.299 117.04 120.00 90.00
Positions (direct):
Y1 0.000 0.500 0.000
Tm1 0.500 0.500 0.000
Tm2 0.500 0.500 0.500
Tm3 0.000 0.500 0.500
Tl1 0.500 0.000 0.000
Tl2 0.500 0.000 0.500
Tl3 0.000 0.000 0.000
Tl4 0.000 0.000 0.500
Se1 0.236 0.703 0.967
Se2 0.236 0.703 0.472
Se3 0.266 0.299 0.532
Se4 0.731 0.703 0.967
Se5 0.269 0.297 0.033
Se6 0.734 0.701 0.468
Se7 0.764 0.297 0.528
Se8 0.764 0.297 0.033

***

(5)
The following is a GGA-PBE calculation of Y3TmTl4Se8 after structural relaxation, from Alexandria via LeMat-Bulk.

Values from the calculation:
* uncorrected formation energy: -1390 meV per atom
* final energy: -0.192 Ha/atom
* space-group type: R-3m (166)

Lattice parameters (Å, degrees): 8.354 9.149 8.354 117.18 120.00 90.00
Positions (direct):
Y1 0.500 0.500 0.000
Y2 0.500 0.500 0.500
Y3 0.000 0.500 0.500
Tm1 0.000 0.500 0.000
Tl1 0.500 0.000 0.000
Tl2 0.500 0.000 0.500
Tl3 0.000 0.000 0.000
Tl4 0.000 0.000 0.500
Se1 0.233 0.703 0.971
Se2 0.233 0.703 0.466
Se3 0.265 0.295 0.530
Se4 0.738 0.703 0.971
Se5 0.262 0.297 0.029
Se6 0.735 0.705 0.470
Se7 0.767 0.297 0.534
Se8 0.767 0.297 0.029

***

(6)
The following is a GGA-PBE calculation of Tm3ZrTl4Se8 after structural relaxation, from Alexandria via LeMat-Bulk.

Values from the calculation:
* uncorrected formation energy: -1252 meV per atom
* final energy: -0.182 Ha/atom
* space-group type: R-3m (166)

Lattice parameters (Å, degrees): 8.141 9.148 8.142 116.42 120.00 90.00
Positions (direct):
Tm1 0.500 0.500 0.000
Tm2 0.500 0.500 0.500
Tm3 0.000 0.500 0.500
Zr1 0.000 0.500 0.000
Tl1 0.500 0.000 0.000
Tl2 0.500 0.000 0.500
Tl3 0.000 0.000 0.000
Tl4 0.000 0.000 0.500
Se1 0.230 0.700 0.971
Se2 0.230 0.700 0.459
Se3 0.266 0.297 0.531
Se4 0.741 0.700 0.971
Se5 0.259 0.300 0.029
Se6 0.734 0.703 0.469
Se7 0.770 0.300 0.541
Se8 0.770 0.300 0.029

***

(7)
The following is a GGA-PBE calculation of Tm2ZrTl2Se6 after structural relaxation, from Alexandria via LeMat-Bulk.

Values from the calculation:
* uncorrected formation energy: -1366 meV per atom
* final energy: -0.194 Ha/atom
* space-group type: C2/m (12)

Lattice parameters (Å, degrees): 6.961 6.961 8.215 98.33 98.33 119.88
Positions (direct):
Tm1 0.332 0.668 0.500
Tm2 0.668 0.332 0.500
Zr1 0.000 0.000 0.500
Tl1 0.831 0.169 0.000
Tl2 0.169 0.831 0.000
Se1 0.746 0.746 0.700
Se2 0.069 0.390 0.700
Se3 0.254 0.254 0.300
Se4 0.390 0.069 0.700
Se5 0.931 0.610 0.300
Se6 0.610 0.931 0.300

***

(8)
The following is a GGA-PBE calculation of UTl2Se3 after structural relaxation, from Alexandria via LeMat-Bulk.

Values from the calculation:
* uncorrected formation energy: -819 meV per atom
* final energy: -0.192 Ha/atom
* space-group type: Fddd (70)

Lattice parameters (Å, degrees): 7.795 7.795 13.631 101.68 101.68 106.98
Positions (direct):
U1 0.915 0.915 0.831
U2 0.335 0.835 0.669
U3 0.165 0.665 0.331
U4 0.085 0.085 0.169
Tl1 0.997 0.497 0.995
Tl2 0.423 0.423 0.846
Tl3 0.827 0.327 0.654
Tl4 0.253 0.253 0.505
Tl5 0.747 0.747 0.495
Tl6 0.673 0.173 0.346
Tl7 0.577 0.577 0.154
Tl8 0.503 0.003 0.005
Se1 0.155 0.696 0.815
Se2 0.660 0.119 0.815
Se3 0.095 0.054 0.685
Se4 0.590 0.631 0.685
Se5 0.053 0.553 0.500
Se6 0.447 0.947 0.500
Se7 0.369 0.410 0.315
Se8 0.946 0.905 0.315
Se9 0.881 0.340 0.185
Se10 0.304 0.845 0.185
Se11 0.197 0.197 0.000
Se12 0.803 0.803 0.000

***

(9)
The following is a GGA-PBE calculation of UTl5Se4 after structural relaxation, from Alexandria via LeMat-Bulk.

Values from the calculation:
* uncorrected formation energy: -571 meV per atom
* final energy: -0.157 Ha/atom
* space-group type: C2/m (12)

Lattice parameters (Å, degrees): 4.262 8.792 9.684 112.80 102.71 90.00
Positions (direct):
U1 0.500 0.000 0.000
Tl1 0.201 0.315 0.402
Tl2 0.147 0.778 0.294
Tl3 0.853 0.222 0.706
Tl4 0.500 0.500 0.000
Tl5 0.799 0.685 0.598
Se1 0.659 0.046 0.318
Se2 0.031 0.242 0.062
Se3 0.341 0.954 0.682
Se4 0.969 0.758 0.938

***

(10)
The following is a GGA-PBE calculation of UTl4Se5 after structural relaxation, from Alexandria via LeMat-Bulk.

Values from the calculation:
* uncorrected formation energy: -638 meV per atom
* final energy: -0.164 Ha/atom
* space-group type: I4 (79)

Lattice parameters (Å, degrees): 6.101 7.789 7.789 81.18 66.94 66.94
Positions (direct):
U1 0.013 0.000 0.000
Tl1 0.408 0.405 0.780
Tl2 0.813 0.780 0.595
Tl3 0.188 0.220 0.405
Tl4 0.593 0.595 0.220
Se1 0.901 0.342 0.858
Se2 0.244 0.858 0.658
Se3 0.759 0.142 0.342
Se4 0.101 0.658 0.142
Se5 0.490 0.000 0.000

***

(11)
The following is a GGA-PBE calculation of U2TlSe5 after structural relaxation, from Alexandria via LeMat-Bulk.

Values from the calculation:
* uncorrected formation energy: -929 meV per atom
* final energy: -0.229 Ha/atom
* space-group type: Cmcm (63)

Lattice parameters (Å, degrees): 5.589 7.284 13.732 90.00 90.00 112.56
Positions (direct):
U1 0.855 0.710 0.444
U2 0.855 0.710 0.056
U3 0.145 0.290 0.556
U4 0.145 0.290 0.944
Tl1 0.440 0.879 0.750
Tl2 0.560 0.121 0.250
Se1 0.952 0.905 0.879
Se2 0.952 0.905 0.621
Se3 0.332 0.664 0.460
Se4 0.332 0.664 0.040
Se5 0.800 0.599 0.250
Se6 0.200 0.401 0.750
Se7 0.668 0.336 0.540
Se8 0.668 0.336 0.960
Se9 0.048 0.095 0.121
Se10 0.048 0.095 0.379

***

(12)
The following is a GGA-PBE calculation of U3TlSe6 after structural relaxation, from Alexandria via LeMat-Bulk.

Values from the calculation:
* uncorrected formation energy: -1001 meV per atom
* final energy: -0.247 Ha/atom
* space-group type: P2_1/m (11)

Lattice parameters (Å, degrees): 4.168 12.304 12.882 106.03 90.00 90.00
Positions (direct):
U1 0.750 0.346 0.451
U2 0.250 0.654 0.549
U3 0.750 0.738 0.290
U4 0.250 0.262 0.710
U5 0.750 0.958 0.851
U6 0.250 0.042 0.149
Tl1 0.750 0.642 0.942
Tl2 0.250 0.358 0.058
Se1 0.750 0.176 0.558
Se2 0.250 0.824 0.442
Se3 0.750 0.135 0.046
Se4 0.250 0.865 0.954
Se5 0.750 0.736 0.700
Se6 0.250 0.264 0.300
Se7 0.750 0.555 0.395
Se8 0.250 0.445 0.605
Se9 0.750 0.359 0.855
Se10 0.250 0.641 0.145
Se11 0.750 0.955 0.251
Se12 0.250 0.045 0.749

***

(13)
The following is a GGA-PBE calculation of U2TlSe4 after structural relaxation, from Alexandria via LeMat-Bulk.

Values from the calculation:
* uncorrected formation energy: -921 meV per atom
* final energy: -0.238 Ha/atom
* space-group type: I-42d (122)

Lattice parameters (Å, degrees): 7.718 7.718 7.718 109.60 109.22 109.60
Positions (direct):
U1 0.875 0.117 0.492
U2 0.508 0.383 0.625
U3 0.375 0.883 0.758
U4 0.242 0.617 0.125
Tl1 0.000 0.000 0.000
Tl2 0.750 0.500 0.250
Se1 0.153 0.916 0.398
Se2 0.602 0.756 0.519
Se3 0.987 0.584 0.731
Se4 0.269 0.256 0.852
Se5 0.597 0.744 0.013
Se6 0.763 0.244 0.847
Se7 0.481 0.084 0.237
Se8 0.148 0.416 0.403

***

(14)
The following is a GGA-PBE calculation of UTl2Se5 after structural relaxation, from Alexandria via LeMat-Bulk.

Values from the calculation:
* uncorrected formation energy: -350 meV per atom
* final energy: -0.166 Ha/atom
* space-group type: I4mm (107)

Lattice parameters (Å, degrees): 6.798 6.798 7.537 116.81 116.81 90.00
Positions (direct):
U1 0.990 0.990 0.981
Tl1 0.231 0.731 0.461
Tl2 0.731 0.231 0.461
Se1 0.744 0.285 0.029
Se2 0.285 0.285 0.029
Se3 0.744 0.744 0.029
Se4 0.285 0.744 0.029
Se5 0.766 0.766 0.533

***

(15)
The following is a GGA-PBE calculation of UTl2Se3 after structural relaxation, from Alexandria via LeMat-Bulk.

Values from the calculation:
* uncorrected formation energy: -753 meV per atom
* final energy: -0.190 Ha/atom
* space-group type: Cmmm (65)

Lattice parameters (Å, degrees): 4.190 6.089 8.540 110.88 90.00 90.00
Positions (direct):
U1 0.000 0.000 0.000
Tl1 0.500 0.349 0.697
Tl2 0.500 0.651 0.303
Se1 0.500 0.882 0.765
Se2 0.500 0.118 0.235
Se3 0.000 0.500 0.000

***

(16)
The following is a GGA-PBE calculation of UTl3Se3 after structural relaxation, from Alexandria via LeMat-Bulk.

Values from the calculation:
* uncorrected formation energy: -665 meV per atom
* final energy: -0.176 Ha/atom
* space-group type: P2_1/m (11)

Lattice parameters (Å, degrees): 4.187 9.017 12.220 92.06 90.00 90.00
Positions (direct):
U1 0.250 0.875 0.374
U2 0.750 0.125 0.626
Tl1 0.250 0.373 0.362
Tl2 0.750 0.627 0.638
Tl3 0.250 0.856 0.871
Tl4 0.750 0.144 0.129
Tl5 0.250 0.365 0.877
Tl6 0.750 0.635 0.123
Se1 0.250 0.345 0.622
Se2 0.750 0.655 0.378
Se3 0.250 0.904 0.610
Se4 0.750 0.096 0.390
Se5 0.250 0.888 0.142
Se6 0.750 0.112 0.858

***

(17)
The following is a GGA-PBE calculation of UTlSe after structural relaxation, from Alexandria via LeMat-Bulk.

Values from the calculation:
* uncorrected formation energy: -138 meV per atom
* final energy: -0.215 Ha/atom
* space-group type: P3m1 (156)

Lattice parameters (Å, degrees): 3.593 3.593 7.330 90.00 90.00 120.00
Positions (direct):
Tl1 0.000 0.000 0.998
U1 0.667 0.333 0.370
Se1 0.333 0.667 0.633

***

(18)
The following is a GGA-PBE calculation of U2Tl2Se7 after structural relaxation, from Alexandria via LeMat-Bulk.

Values from the calculation:
* uncorrected formation energy: -732 meV per atom
* final energy: -0.200 Ha/atom
* space-group type: Cmmm (65)

Lattice parameters (Å, degrees): 6.585 7.662 6.585 89.99 98.26 90.01
Positions (direct):
U1 0.723 0.000 0.277
U2 0.277 0.000 0.723
Tl1 0.783 0.500 0.783
Tl2 0.217 0.500 0.217
Se1 0.000 0.228 0.500
Se2 0.500 0.772 0.000
Se3 0.000 0.772 0.500
Se4 0.500 0.228 0.000
Se5 0.000 0.000 0.000
Se6 0.500 0.774 0.500
Se7 0.500 0.226 0.500

***

(19)
The following is a GGA-PBE calculation of UTl5Se8 after structural relaxation, from Alexandria via LeMat-Bulk.

Values from the calculation:
* uncorrected formation energy: -438 meV per atom
* final energy: -0.150 Ha/atom
* space-group type: I-4 (82)

Lattice parameters (Å, degrees): 8.375 8.375 8.375 104.37 104.37 120.24
Positions (direct):
U1 0.250 0.750 0.500
Tl1 0.880 0.244 0.891
Tl2 0.756 0.647 0.636
Tl3 0.353 0.988 0.109
Tl4 0.500 0.500 0.000
Tl5 0.012 0.120 0.364
Se1 0.972 0.656 0.150
Se2 0.344 0.494 0.316
Se3 0.577 0.880 0.398
Se4 0.120 0.518 0.696
Se5 0.821 0.423 0.304
Se6 0.178 0.028 0.684
Se7 0.506 0.822 0.850
Se8 0.482 0.179 0.602